(1)
The following is a DFT calculation (meta-GGA SCAN) of Zr3Al2Cu3 at its PBEsol-relaxed geometry.

Results
Energy relative to the lowest polymorph listed for this composition   0 meV/atom
Volume   16.33 A^3/atom
N(E_F)   11.52 states/eV/cell
Magnetization   0.00 μB per cell
Uncorrected energy   -19.512 eV/atom
Formation energy   -362 meV per atom

Lattice parameters (Å, degrees): 7.6508 7.6508 5.1551 90.00 90.00 120.00
Closest atoms and distances in Å follow each position.
Space group P6_3/mcm (No. 193)
Inequivalent atoms, fractional coordinates:
Zr 0.0000 0.2532 0.2500 (multiplicity 6)  5 Cu 2.62-2.83
Al 0.3333 0.6667 0.0000 (multiplicity 4)  2 Al 2.58, 6 Cu 2.66
Cu 0.0000 0.4044 0.7500 (multiplicity 6)  5 Zr 2.62-2.83, 4 Al 2.66

---

(2)
The following is a DFT calculation (meta-GGA SCAN) of ZrScIn2 at its PBEsol-relaxed geometry.

Results
Energy relative to the lowest polymorph listed for this composition   72 meV/atom
Volume   21.43 A^3/atom
N(E_F)   2.31 states/eV/cell
Magnetization   0.00 μB per cell
Uncorrected energy   -28.380 eV/atom
Formation energy   -453 meV per atom

Lattice parameters (Å, degrees): 5.1980 5.1980 3.1730 90.00 90.00 90.00
Closest atoms and distances in Å follow each position.
Space group P4/mmm (No. 123)
Inequivalent atoms, fractional coordinates:
Zr 0.0000 0.0000 0.0000 (multiplicity 1)  8 In 3.04, 2 Zr 3.17
Sc 0.5000 0.5000 0.0000 (multiplicity 1)  8 In 3.04, 2 Sc 3.17
In 0.0000 0.5000 0.5000 (multiplicity 2)  4 Sc 3.04, 4 Zr 3.04, 2 In 3.17

---

(3)
The following is a DFT calculation (meta-GGA SCAN) of MnAuO2 at its PBEsol-relaxed geometry.

Results
Volume   13.71 A^3/atom
N(E_F)   4.02 states/eV/cell
Magnetization   15.52 μB per cell
Uncorrected energy   -25.836 eV/atom

Lattice parameters (Å, degrees): 5.0250 5.0250 8.6880 90.00 90.00 90.00
Closest atoms and distances in Å follow each position.
Space group I-42d (No. 122)
Inequivalent atoms, fractional coordinates:
Mn 0.0000 0.0000 0.0000 (multiplicity 4)  4 O 1.85
Au 0.0000 0.0000 0.5000 (multiplicity 4)  4 O 2.38
O 0.1617 0.2500 0.1250 (multiplicity 8)  2 Mn 1.85

---

(4)
The following is a DFT calculation (meta-GGA SCAN) of KIn2Ni2 at its PBEsol-relaxed geometry.

Results
Volume   22.05 A^3/atom
N(E_F)   4.09 states/eV/cell
Magnetization   0.00 μB per cell
Uncorrected energy   -21.444 eV/atom
Formation energy   46 meV per atom

Lattice parameters (Å, degrees): 3.4431 3.4431 18.6028 90.00 90.00 90.00
Closest atoms and distances in Å follow each position.
Space group I4/mmm (No. 139)
Inequivalent atoms, fractional coordinates:
K 0.0000 0.0000 0.0000 (multiplicity 2)  4 K 3.44, 8 In 3.64
In 0.0000 0.0000 0.3547 (multiplicity 4)  4 Ni 2.60
Ni 0.0000 0.5000 0.2500 (multiplicity 4)  4 Ni 2.43, 4 In 2.60

---

(5)
The following is a DFT calculation (meta-GGA SCAN) of MnReAsPd2 at its PBEsol-relaxed geometry.

Results
Volume   21.30 A^3/atom
N(E_F)   2.71 states/eV/cell
Magnetization   4.78 μB per cell
Uncorrected energy   -34.153 eV/atom
Formation energy   865 meV per atom

Lattice parameters (Å, degrees): 4.8149 4.8149 4.5940 90.00 90.00 90.00
Closest atoms and distances in Å follow each position.
Space group P4/mmm (No. 123)
Inequivalent atoms, fractional coordinates:
Mn 0.0000 0.0000 0.0000 (multiplicity 1)  8 Pd 3.33, 4 As 3.40
Re 0.5000 0.5000 0.5000 (multiplicity 1)  2 As 2.30, 4 Pd 2.41
As 0.5000 0.5000 0.0000 (multiplicity 1)  2 Re 2.30
Pd 0.0000 0.5000 0.5000 (multiplicity 2)  2 Re 2.41

---

(6)
The following is a DFT calculation (meta-GGA SCAN) of Al2CuO4 at its PBEsol-relaxed geometry.

Results
Volume   9.41 A^3/atom
N(E_F)   39.14 states/eV/cell
Magnetization   8.00 μB per cell
Uncorrected energy   -10.495 eV/atom

Lattice parameters (Å, degrees): 8.0763 8.0763 8.0763 90.00 90.00 90.00
Closest atoms and distances in Å follow each position.
Space group Fd-3m (No. 227, origin choice 2)
Inequivalent atoms, fractional coordinates:
Al 0.0000 0.0000 0.0000 (multiplicity 16)  6 O 1.91
Cu 0.1250 0.1250 0.6250 (multiplicity 8)  4 O 1.95
O 0.0141 0.0141 0.2359 (multiplicity 32)  3 Al 1.91, 1 Cu 1.95

---

(7)
The following is a DFT calculation (meta-GGA SCAN) of YMgCl2 at its PBEsol-relaxed geometry.

Results
Energy relative to the lowest polymorph listed for this composition   106 meV/atom
Volume   21.32 A^3/atom
N(E_F)   1.88 states/eV/cell
Magnetization   0.00 μB per cell
Uncorrected energy   -13.126 eV/atom

Lattice parameters (Å, degrees): 4.5389 4.5389 4.1402 90.00 90.00 90.00
Closest atoms and distances in Å follow each position.
Space group P4/mmm (No. 123)
Inequivalent atoms, fractional coordinates:
Y 0.0000 0.0000 0.0000 (multiplicity 1)  8 Cl 3.07, 4 Mg 3.21
Mg 0.5000 0.5000 0.0000 (multiplicity 1)  8 Cl 3.07, 4 Y 3.21
Cl 0.0000 0.5000 0.5000 (multiplicity 2)  4 Mg 3.07, 4 Y 3.07, 4 Cl 3.21

---

(8)
The following is a DFT calculation (meta-GGA SCAN) of InPtO2F at its PBEsol-relaxed geometry.

Results
Volume   16.43 A^3/atom
N(E_F)   2.75 states/eV/cell
Magnetization   0.69 μB per cell
Uncorrected energy   -24.576 eV/atom

Lattice parameters (Å, degrees): 3.7263 3.7263 5.9160 90.00 90.00 90.00
Closest atoms and distances in Å follow each position.
Space group P4/mmm (No. 123)
Inequivalent atoms, fractional coordinates:
In 0.0000 0.0000 0.0000 (multiplicity 1)  4 F 2.63
Pt 0.5000 0.5000 0.5000 (multiplicity 1)  4 O 1.86
O 0.0000 0.5000 0.5000 (multiplicity 2)  2 Pt 1.86
F 0.5000 0.5000 0.0000 (multiplicity 1)  4 In 2.63

---

(9)
The following is a DFT calculation (meta-GGA SCAN) of Hg6S4IBr2Cl at its PBEsol-relaxed geometry.

Results
Volume   27.31 A^3/atom
N(E_F)   0.00 states/eV/cell
Magnetization   0.00 μB per cell
Uncorrected energy   -38.261 eV/atom

Lattice parameters (Å, degrees): 12.8067 9.3386 12.7873 90.00 90.00 90.00
Closest atoms and distances in Å follow each position.
Space group Pnma (No. 62)
Inequivalent atoms, fractional coordinates:
Hg 0.0324 0.2500 0.1943 (multiplicity 4)  2 S 2.43, 1 Cl 2.63
Hg 0.1188 0.0086 0.6553 (multiplicity 8)  2 S 2.41-2.42
Hg 0.1575 0.5110 0.3793 (multiplicity 8)  2 S 2.41-2.42
Hg 0.1871 0.7500 0.0320 (multiplicity 4)  2 S 2.45, 1 Cl 2.59
S 0.0351 0.5044 0.2354 (multiplicity 8)  3 Hg 2.42-2.43
S 0.2362 0.0038 0.0350 (multiplicity 8)  3 Hg 2.41-2.45
I 0.0043 0.7500 0.4970 (multiplicity 4)  8 Hg 3.33-3.57
Br 0.2160 0.7500 0.7826 (multiplicity 4)  7 Hg 3.17-3.41
Br 0.2274 0.2500 0.7718 (multiplicity 4)  5 Hg 3.01-3.26
Cl 0.0136 0.2500 0.9898 (multiplicity 4)  2 Hg 2.59-2.63

---

(10)
The following is a DFT calculation (meta-GGA SCAN) of BaLi2Pt at its PBEsol-relaxed geometry.

Results
Energy relative to the lowest polymorph listed for this composition   0 meV/atom
Volume   23.64 A^3/atom
N(E_F)   2.90 states/eV/cell
Magnetization   0.00 μB per cell
Uncorrected energy   -29.150 eV/atom
Formation energy   -519 meV per atom

Lattice parameters (Å, degrees): 4.4541 4.4541 16.5129 90.00 90.00 120.00
Closest atoms and distances in Å follow each position.
Space group R3m (No. 160, hexagonal axes)
Inequivalent atoms, fractional coordinates:
Ba 0.0000 0.0000 0.0000 (multiplicity 3)  1 Li 3.06, 4 Pt 3.34-3.36
Li 0.0000 0.0000 0.1851 (multiplicity 3)  3 Li 2.64, 3 Pt 2.72
Li 0.0000 0.0000 0.4816 (multiplicity 3)  3 Pt 2.59, 3 Li 2.64
Pt 0.0000 0.0000 0.7975 (multiplicity 3)  6 Li 2.59-2.72

---

(11)
The following is a DFT calculation (meta-GGA SCAN) of Ba2Ge2Pb at its PBEsol-relaxed geometry.

Results
Volume   31.06 A^3/atom
N(E_F)   6.54 states/eV/cell
Magnetization   0.00 μB per cell
Uncorrected energy   -39.190 eV/atom
Formation energy   -579 meV per atom

Lattice parameters (Å, degrees): 7.8639 7.8639 5.0228 90.00 90.00 90.00
Closest atoms and distances in Å follow each position.
Space group P4/mbm (No. 127)
Inequivalent atoms, fractional coordinates:
Ba 0.1807 0.3193 0.0000 (multiplicity 4)  6 Ge 3.41-3.45
Ge 0.1119 0.6119 0.5000 (multiplicity 4)  1 Ge 2.49
Pb 0.0000 0.0000 0.5000 (multiplicity 2)  4 Ge 3.18

---

(12)
The following is a DFT calculation (meta-GGA SCAN) of PRhPb2 at its PBEsol-relaxed geometry.

Results
Volume   20.96 A^3/atom
N(E_F)   1.47 states/eV/cell
Magnetization   0.00 μB per cell
Uncorrected energy   -49.041 eV/atom
Formation energy   -108 meV per atom

Lattice parameters (Å, degrees): 3.2326 3.2326 8.0221 90.00 90.00 90.00
Closest atoms and distances in Å follow each position.
Space group P4mm (No. 99)
Inequivalent atoms, fractional coordinates:
P 0.0000 0.0000 0.0000 (multiplicity 1)  4 Rh 2.43
Rh 0.5000 0.5000 0.8960 (multiplicity 1)  4 P 2.43
Pb 0.0000 0.0000 0.6286 (multiplicity 1)  1 P 2.98, 4 Rh 3.13, 4 Pb 3.23
Pb 0.5000 0.5000 0.2651 (multiplicity 1)  1 Rh 2.96, 4 P 3.12, 4 Pb 3.23